This record from Alexandria describes a relaxed structure of Zr2TaPb. The functional is PBE.

```
Zr2TaPb
1.0
5.0620 0.0000 0.0000
0.0000 3.2112 -0.0136
0.0000 0.5827 5.4256
Zr Pb Ta
2 1 1
Direct
0.0000 0.0506 0.9436
0.5000 0.2054 0.2962
0.0000 0.6359 0.4595
0.5000 0.6081 0.8008
```

Symmetry: Pm
Formation enthalpy at 0 K (eV per atom): 0.0553
VASP energy (eV/atom): -8.109